# 1
First-principles (GGA-PBE) data for a geometry-optimized LiTlGaAu structure, as listed in OQMD via LeMat-Bulk.

Unit cell a=6.7901 b=6.7901 c=6.7901 alpha=90.00 beta=90.00 gamma=90.00
With the nearest neighbours (Å) after each atom.
Space group F-43m (No. 216)
Symmetry-distinct sites (fractional):
Li1 0.0000 0.0000 0.0000  4 Tl 2.94, 4 Ga 2.94
Tl1 0.2500 0.2500 0.7500  4 Li 2.94, 4 Au 2.94
Ga1 0.2500 0.2500 0.2500  4 Li 2.94, 4 Au 2.94
Au1 0.0000 0.0000 0.5000  4 Ga 2.94, 4 Tl 2.94

Values from the calculation:
The theoretical density is 10.14 g/cm3. The value obtained for the energy above the most stable polymorph in this dataset is 27 meV/atom. The total DFT energy (no corrections) is -45.04 eV per cell.

***

# 2
First-principles (GGA-PBE) data for a geometry-optimized RbAlFeSe3 structure, as listed in OQMD via LeMat-Bulk.

Unit cell a=9.1636 b=3.7795 c=9.8615 alpha=90.00 beta=111.96 gamma=90.00
With the nearest neighbours (Å) after each atom.
Space group P2_1/m (No. 11)
Symmetry-distinct sites (fractional):
Rb1 0.2099 0.2500 0.2414  7 Se 3.46-3.63, 2 Rb 3.78
Al1 0.3453 0.7500 0.8743  5 Se 2.52-2.60
Fe1 0.0695 0.2500 0.5884  4 Se 2.45-2.48, 2 Fe 2.56
Se1 0.1442 0.2500 0.8548  1 Fe 2.45, 2 Al 2.60
Se2 0.2186 0.7500 0.5480  3 Fe 2.45-2.48
Se3 0.4746 0.7500 0.1488  3 Al 2.52-2.57

Values from the calculation:
The theoretical density is 4.25 g/cm3. The value obtained for the energy above the most stable polymorph in this dataset is 0 meV/atom. The total DFT energy (no corrections) is -55.94 eV per cell. As for the total magnetic moment: 7.3 Bohr magnetons per cell.

***

# 3
First-principles (GGA-PBE) data for a geometry-optimized NdGd structure, as listed in OQMD via LeMat-Bulk.

Unit cell a=5.8470 b=5.8470 c=6.3197 alpha=90.00 beta=90.00 gamma=120.00
With the nearest neighbours (Å) after each atom.
Space group P6_3/mmc (No. 194)
Symmetry-distinct sites (fractional):
Nd1 0.3333 0.6667 0.2500  5 Gd 3.16-3.38
Gd1 0.3333 0.6667 0.7500  5 Nd 3.16-3.38

Values from the calculation:
The theoretical density is 5.35 g/cm3. The value obtained for the energy above the most stable polymorph in this dataset is 1200 meV/atom. The total DFT energy (no corrections) is -13.92 eV per cell. As for the total magnetic moment: 0.1 Bohr magnetons per cell.

***

# 4
First-principles (GGA-PBE) data for a geometry-optimized CsGdCd structure, as listed in OQMD via LeMat-Bulk.

Unit cell a=7.8191 b=7.8191 c=7.8191 alpha=90.00 beta=90.00 gamma=90.00
With the nearest neighbours (Å) after each atom.
Space group F-43m (No. 216)
Symmetry-distinct sites (fractional):
Cs1 0.0000 0.0000 0.0000  4 Cd 3.39, 4 Gd 3.39
Gd1 0.2500 0.2500 0.2500  4 Cs 3.39
Cd1 0.2500 0.2500 0.7500  4 Cs 3.39

Values from the calculation:
The theoretical density is 5.59 g/cm3. The total DFT energy (no corrections) is -13.80 eV per cell. As for the total magnetic moment: 0.0 Bohr magnetons per cell.

***

# 5
First-principles (GGA-PBE) data for a geometry-optimized B4WAu structure, as listed in OQMD via LeMat-Bulk.

Unit cell a=2.9623 b=2.9623 c=8.3794 alpha=90.00 beta=90.00 gamma=120.00
With the nearest neighbours (Å) after each atom.
Space group P6/mmm (No. 191)
Symmetry-distinct sites (fractional):
B1 0.3333 0.6667 0.1977  3 B 1.71
W1 0.0000 0.0000 0.0000  12 B 2.38
Au1 0.0000 0.0000 0.5000  6 Au 2.96, 12 B 3.06

Values from the calculation:
The theoretical density is 11.06 g/cm3. The value obtained for the energy above the most stable polymorph in this dataset is 0 meV/atom. The total DFT energy (no corrections) is -41.97 eV per cell. As for the total magnetic moment: 0.0 Bohr magnetons per cell.

***

# 6
First-principles (GGA-PBE) data for a geometry-optimized BaPdSeO structure, as listed in OQMD via LeMat-Bulk.

Unit cell a=4.3955 b=4.3955 c=9.0973 alpha=90.00 beta=90.00 gamma=90.00
With the nearest neighbours (Å) after each atom.
Space group P4/nmm (No. 129, origin choice 2)
Symmetry-distinct sites (fractional):
Ba1 0.2500 0.2500 0.2197  1 Pd 3.11, 5 Se 3.17-3.35, 4 O 3.37
Pd1 0.2500 0.2500 0.5618  4 O 2.27
Se1 0.2500 0.2500 0.8512  1 Pd 2.63
O1 0.2500 0.7500 0.5000  4 Pd 2.27

Values from the calculation:
The theoretical density is 6.40 g/cm3. The value obtained for the energy above the most stable polymorph in this dataset is 290 meV/atom. The total DFT energy (no corrections) is -38.96 eV per cell.

***

What is the formula in the first record?
LiTlGaAu